(1)
The following is a PBE calculation of a relaxed structure of TbDy3Er2Bi6, from the Alexandria database.

Output
Symmetry: C2/m, No. 12
Calculated formation energy: -0.847 eV/atom

a b c (Å): 4.465 8.931 9.982
angles (deg): 102.86 102.92 90.00
Positions (direct):
Bi: 0.333 0.915 0.666
Bi: 0.667 0.582 0.334
Bi: 0.999 0.749 0.999
Bi: 0.001 0.251 0.001
Bi: 0.333 0.418 0.666
Bi: 0.667 0.085 0.334
Er: 0.833 0.667 0.666
Er: 0.167 0.333 0.334
Tb: 0.500 0.000 0.000
Dy: 0.166 0.833 0.332
Dy: 0.500 0.500 0.000
Dy: 0.834 0.167 0.668

---

(2)
The following is a PBE calculation of a relaxed structure of Tb3Dy2ErBi6, from the Alexandria database.

Output
Symmetry: C2/m, No. 12
Calculated formation energy: -0.862 eV/atom

a b c (Å): 4.475 8.952 10.006
angles (deg): 102.85 102.92 90.00
Positions (direct):
Tb: 0.500 0.500 0.000
Tb: 0.167 0.833 0.334
Tb: 0.833 0.167 0.666
Dy: 0.834 0.667 0.667
Dy: 0.166 0.333 0.333
Bi: 0.333 0.418 0.666
Bi: 0.667 0.582 0.334
Bi: 0.334 0.917 0.668
Bi: 0.000 0.752 0.000
Bi: 0.000 0.248 0.000
Bi: 0.666 0.083 0.332
Er: 0.500 0.000 0.000

---

(3)
The following is a PBE calculation of a relaxed structure of Tb2Dy3ErBi6, from the Alexandria database.

Output
Symmetry: C2/m, No. 12
Calculated formation energy: -0.858 eV/atom

a b c (Å): 4.472 8.946 9.999
angles (deg): 102.86 102.92 90.00
Positions (direct):
Bi: 0.666 0.082 0.332
Bi: 0.001 0.752 0.001
Bi: 0.334 0.918 0.668
Bi: 0.666 0.584 0.333
Bi: 0.999 0.248 0.999
Bi: 0.334 0.416 0.667
Tb: 0.834 0.667 0.667
Tb: 0.166 0.333 0.333
Dy: 0.833 0.167 0.666
Dy: 0.167 0.833 0.334
Dy: 0.500 0.500 0.000
Er: 0.500 0.000 0.000

---

(4)
The following is a PBE calculation of a relaxed structure of Tb2DyEr3Bi6, from the Alexandria database.

Output
Symmetry: C2/m, No. 12
Calculated formation energy: -0.843 eV/atom

a b c (Å): 4.462 8.927 9.976
angles (deg): 102.84 102.92 90.00
Positions (direct):
Bi: 0.001 0.749 0.002
Bi: 0.667 0.081 0.334
Bi: 0.666 0.585 0.332
Bi: 0.334 0.415 0.668
Bi: 0.999 0.251 0.998
Bi: 0.333 0.919 0.666
Er: 0.167 0.833 0.334
Er: 0.500 0.500 0.000
Er: 0.833 0.167 0.666
Tb: 0.833 0.667 0.667
Tb: 0.167 0.333 0.333
Dy: 0.500 0.000 0.000